[1]
This record from the Alexandria database describes a geometry-optimized HfCdSeBr2 structure. The functional is GGA-PBE.

a b c (Å): 5.3763 5.3763 5.1427
angles (deg): 90.00 90.00 90.00
With the nearest neighbours (Å) after each atom.
Fractional coordinates of all 5 atoms:
Hf: 0.0000 0.0000 0.0000  2 Se 2.57, 4 Br 2.69
Se: 0.0000 0.0000 0.5000  2 Hf 2.57
Br: 0.0000 0.5000 0.0000  2 Hf 2.69
Br: 0.5000 0.0000 0.0000  2 Hf 2.69
Cd: 0.5000 0.5000 0.5000  8 Br 3.72, 4 Se 3.80

Summary:
Offset from the most stable computed form, meV/atom: 0
SG: P4/mmm


[2]
This record from the Alexandria database describes a geometry-optimized Sr3Sn3Ge structure. The functional is GGA-PBE.

a b c (Å): 5.0279 6.5154 15.2431
angles (deg): 81.18 80.51 67.30
With the nearest neighbours (Å) after each atom.
Fractional coordinates of all 14 atoms:
Sr: 0.5032 0.3700 0.6236  6 Sn 3.42-3.59, 3 Ge 3.43-3.60
Sr: 0.4968 0.6300 0.3764  6 Sn 3.42-3.59, 3 Ge 3.43-3.60
Sr: 0.2778 0.2113 0.2331  2 Ge 3.39, 6 Sn 3.42-3.61
Sr: 0.7222 0.7887 0.7669  2 Ge 3.39, 6 Sn 3.42-3.61
Sr: 0.3925 0.2918 0.9231  7 Sn 3.44-3.60
Sr: 0.6075 0.7082 0.0769  7 Sn 3.44-3.60
Sn: 0.8573 0.7504 0.5350  3 Ge 2.85-3.10
Sn: 0.1427 0.2496 0.4650  3 Ge 2.85-3.10
Sn: 0.1067 0.8633 0.9233  2 Sn 2.96-2.97
Sn: 0.8933 0.1367 0.0767  2 Sn 2.96-2.97
Sn: 0.9952 0.7812 0.2284  1 Ge 2.93, 1 Sn 2.97
Sn: 0.0048 0.2188 0.7716  1 Ge 2.93, 1 Sn 2.97
Ge: 0.7815 0.0588 0.3782  4 Sn 2.85-3.10
Ge: 0.2185 0.9412 0.6218  4 Sn 2.85-3.10

Summary:
Calculated formation energy, eV per atom: -0.561
SG: C2/m


[3]
This record from the Alexandria database describes a geometry-optimized YVCo2 structure. The functional is GGA-PBE.

a b c (Å): 4.5332 4.5332 8.0491
angles (deg): 73.64 73.64 90.00
With the nearest neighbours (Å) after each atom.
Fractional coordinates of all 8 atoms:
Y: 0.0000 0.0000 0.0000  8 Co 2.98-3.30, 4 V 3.21
Y: 0.7500 0.2500 0.5000  8 Co 2.98-3.30, 4 V 3.21
Co: 0.4245 0.1250 0.2500  2 V 2.18, 2 Co 2.31
Co: 0.3255 0.6250 0.2500  2 V 2.18, 2 Co 2.31
Co: 0.3750 0.5755 0.7500  2 V 2.18, 2 Co 2.31
Co: 0.8750 0.6745 0.7500  2 V 2.18, 2 Co 2.31
V: 0.5000 0.5000 0.0000  4 Co 2.18
V: 0.2500 0.7500 0.5000  4 Co 2.18

Summary:
Offset from the most stable computed form, meV/atom: 445
Calculated formation energy, eV per atom: 0.391
SG: I-42d


Number 1: spin magnetization 0.00 μB/atom. Number 2: spin magnetization 0.00 μB/atom. Number 3: spin magnetization 0.09 μB/atom.